1.
# LiU4S5

An optimized crystal structure of LiU4S5 (PBE-GGA, Alexandria).

The crystal system is tetragonal. The value obtained for the uncorrected formation energy is -13.510 eV/f.u.

The structure belongs to space group I4/m (No. 87); the cell edges are 8.610, 8.610 and 5.448 Å and the angles 90.00°, 90.00° and 90.00°. Symmetry generates all atoms from Li at (0.000, 0.000, 0.000), U at (0.098, 0.696, 0.500), S at (0.000, 0.000, 0.500) and S at (0.099, 0.711, 0.000).

=====

2.
# Li3U6S14

An optimized crystal structure of Li3U6S14 (PBE-GGA, Alexandria).

The crystal system is trigonal. The value obtained for the uncorrected formation energy is -30.642 eV/f.u.

The structure belongs to space group P3 (No. 143); the cell edges are 9.5444, 9.5444 and 5.7531 Å and the angles 90.00°, 90.00° and 120.00°. Symmetry generates all atoms from Li at (0.0000, 0.0000, 0.0000), Li at (0.3333, 0.6667, 0.4983), Li at (0.6667, 0.3333, 0.3627), U at (0.0413, 0.5610, 0.0866), U at (0.2919, 0.1050, 0.5882), S at (0.0000, 0.0000, 0.3910), S at (0.1010, 0.8442, 0.8327), S at (0.1782, 0.4102, 0.3313), S at (0.3333, 0.6667, 0.8888), S at (0.4135, 0.1856, 0.1236) and S at (0.5186, 0.4369, 0.6163).

=====

3.
# Li5U3S12

An optimized crystal structure of Li5U3S12 (PBE-GGA, Alexandria).

The crystal system is cubic. The value obtained for the uncorrected formation energy is -20.057 eV/f.u.

The structure belongs to space group Ia-3d (No. 230); the cell edges are 14.688, 14.688 and 14.688 Å and the angles 90.00°, 90.00° and 90.00°. Symmetry generates all atoms from Li at (0.000, 0.000, 0.000), Li at (0.000, 0.250, 0.375), U at (0.000, 0.250, 0.125) and S at (0.020, 0.069, 0.655).

=====

4.
# LiUS3

An optimized crystal structure of LiUS3 (PBE-GGA, Alexandria).

The crystal system is cubic. The calculation puts the distance to the lowest polymorph of the same formula at 204 meV per atom. The value obtained for the uncorrected formation energy is -5.155 eV/f.u.

The structure belongs to space group Pm-3m (No. 221); the cell edges are 5.152, 5.152 and 5.152 Å and the angles 90.00°, 90.00° and 90.00°. Symmetry generates all atoms from Li at (0.000, 0.000, 0.000), U at (0.500, 0.500, 0.500) and S at (0.000, 0.500, 0.500).

=====

5.
# LiU3S6

An optimized crystal structure of LiU3S6 (PBE-GGA, Alexandria).

The crystal system is orthorhombic. The value obtained for the uncorrected formation energy is -14.092 eV/f.u.

The structure belongs to space group Cmc2_1 (No. 36); the cell edges are 10.508, 12.878 and 6.572 Å and the angles 90.00°, 90.00° and 90.00°. Symmetry generates all atoms from Li at (0.000, 0.191, 0.000), U at (0.000, 0.397, 0.628), U at (0.178, 0.102, 0.528), S at (0.000, 0.025, 0.807), S at (0.000, 0.230, 0.367), S at (0.163, 0.467, 0.329) and S at (0.174, 0.269, 0.801).

=====

6.
# Li5US4

An optimized crystal structure of Li5US4 (PBE-GGA, Alexandria).

The crystal system is monoclinic. The value obtained for the uncorrected formation energy is -12.695 eV/f.u.

The structure belongs to space group C2/m (No. 12); the cell edges are 15.295, 3.921 and 7.114 Å and the angles 90.00°, 117.48° and 90.00°. Symmetry generates all atoms from Li at (0.000, 0.000, 0.000), Li at (0.178, 0.500, 0.466), Li at (0.179, 0.500, 0.892), U at (0.000, 0.000, 0.500), S at (0.000, 0.500, 0.232) and S at (0.210, 0.000, 0.710).

=====

7.
# Li5US6

An optimized crystal structure of Li5US6 (PBE-GGA, Alexandria).

The crystal system is monoclinic. The value obtained for the uncorrected formation energy is -14.216 eV/f.u.

The structure belongs to space group C2/m (No. 12); the cell edges are 6.419, 11.104 and 6.402 Å and the angles 90.00°, 109.46° and 90.00°. Symmetry generates all atoms from Li at (0.000, 0.000, 0.000), Li at (0.000, 0.167, 0.500), Li at (0.000, 0.334, 0.000), U at (0.000, 0.500, 0.500), S at (0.243, 0.500, 0.259) and S at (0.244, 0.338, 0.749).

=====

8.
# LiU3S6

An optimized crystal structure of LiU3S6 (PBE-GGA, Alexandria).

The crystal system is monoclinic. The value obtained for the uncorrected formation energy is -13.371 eV/f.u.

The structure belongs to space group P2_1/m (No. 11); the cell edges are 10.932, 4.035 and 11.427 Å and the angles 90.00°, 107.82° and 90.00°. Symmetry generates all atoms from Li at (0.047, 0.250, 0.122), U at (0.159, 0.250, 0.571), U at (0.305, 0.750, 0.989), U at (0.478, 0.250, 0.323), S at (0.077, 0.750, 0.409), S at (0.122, 0.250, 0.937), S at (0.266, 0.750, 0.726), S at (0.305, 0.750, 0.230), S at (0.385, 0.250, 0.524) and S at (0.465, 0.250, 0.086).

=====

Number 1: magnetization 0.997 μB/atom, electronic total energy -8.121 eV per atom. Number 2: magnetization 0.478 μB/atom, electronic total energy -7.039 eV per atom. Number 3: magnetization 0.000 μB/atom, electronic total energy -5.651 eV per atom. Number 4: magnetization 0.200 μB/atom, electronic total energy -6.148 eV per atom. Number 5: magnetization 0.701 μB/atom, electronic total energy -7.463 eV per atom. Number 6: magnetization 0.300 μB/atom, electronic total energy -5.006 eV per atom. Number 7: magnetization 0.000 μB/atom, electronic total energy -4.987 eV per atom. Number 8: magnetization 0.249 μB/atom, electronic total energy -7.391 eV per atom.